ZrCrRh | GGA-PBEsol | optimized geometry

a b c (Å): 3.109 3.109 9.677
angles (deg): 90.00 90.00 90.00
Space group I4mm (No. 107)
Inequivalent atoms, fractional coordinates:
Zr 0.000 0.000 0.000 [2 per cell]
Cr 0.000 0.000 0.673 [2 per cell]
Rh 0.000 0.000 0.325 [2 per cell]

Results
N(E_F) = 7.658 states/eV per cell
E_form = -4.81 kJ per mole of atoms



Zr2CrRh | GGA-PBEsol | optimized geometry

a b c (Å): 8.261 2.987 5.590
angles (deg): 90.00 98.70 90.00
Space group C2/m (No. 12)
Inequivalent atoms, fractional coordinates:
Zr 0.247 0.000 0.242 [4 per cell]
Cr 0.000 0.500 0.000 [2 per cell]
Rh 0.000 0.000 0.500 [2 per cell]

Results
excess energy over the best structure of this formula in the dataset = 1.63 eV/f.u.
N(E_F) = 8.043 states/eV per cell
E_form = 7.07 kJ per mole of atoms



Zr2CrRh | GGA-PBEsol | optimized geometry

a b c (Å): 3.787 3.787 9.546
angles (deg): 90.00 90.00 90.00
Space group I-4m2 (No. 119)
Inequivalent atoms, fractional coordinates:
Zr 0.000 0.000 0.000 [2 per cell]
Zr 0.000 0.500 0.250 [2 per cell]
Cr 0.000 0.000 0.500 [2 per cell]
Rh 0.000 0.500 0.750 [2 per cell]

Results
excess energy over the best structure of this formula in the dataset = 0.89 eV/f.u.
N(E_F) = 8.584 states/eV per cell
E_form = -10.82 kJ per mole of atoms



Zr2CrRh | GGA-PBEsol | optimized geometry

a b c (Å): 3.214 3.214 6.457
angles (deg): 90.00 90.00 90.00
Space group P4/mmm (No. 123)
Inequivalent atoms, fractional coordinates:
Zr 0.000 0.000 0.244 [2 per cell]
Cr 0.500 0.500 0.000 [1 per cell]
Rh 0.500 0.500 0.500 [1 per cell]

Results
excess energy over the best structure of this formula in the dataset = 0.00 eV/f.u.
N(E_F) = 3.218 states/eV per cell
E_form = -32.35 kJ per mole of atoms



Cr3Ru | GGA-PBEsol | optimized geometry

a b c (Å): 2.853 4.100 8.052
angles (deg): 90.00 90.00 90.00
Space group Immm (No. 71)
Inequivalent atoms, fractional coordinates:
Cr 0.000 0.000 0.000 [2 per cell]
Cr 0.000 0.500 0.264 [4 per cell]
Ru 0.000 0.000 0.500 [2 per cell]

Results
N(E_F) = 8.539 states/eV per cell
E_form = 10.01 kJ per mole of atoms



Cr3Ru | GGA-PBEsol | optimized geometry

a b c (Å): 4.567 4.567 4.567
angles (deg): 90.00 90.00 90.00
Space group Pm-3n (No. 223)
Inequivalent atoms, fractional coordinates:
Cr 0.000 0.250 0.500 [6 per cell]
Ru 0.000 0.000 0.000 [2 per cell]

Results
N(E_F) = 11.674 states/eV per cell
E_form = 7.81 kJ per mole of atoms



CrRu5 | GGA-PBEsol | optimized geometry

a b c (Å): 4.208 2.674 13.831
angles (deg): 90.00 90.00 90.00
Space group Amm2 (No. 38)
Inequivalent atoms, fractional coordinates:
Cr 0.000 0.000 0.000 [2 per cell]
Ru 0.000 0.000 0.337 [2 per cell]
Ru 0.000 0.000 0.665 [2 per cell]
Ru 0.500 0.000 0.222 [2 per cell]
Ru 0.500 0.000 0.554 [2 per cell]
Ru 0.500 0.000 0.892 [2 per cell]

Results
N(E_F) = 11.465 states/eV per cell
E_form = 1.73 kJ per mole of atoms



Cr8Ru | GGA-PBEsol | optimized geometry

a b c (Å): 8.520 8.520 2.832
angles (deg): 90.00 90.00 90.00
Space group I4/mmm (No. 139)
Inequivalent atoms, fractional coordinates:
Cr 0.000 0.335 0.000 [8 per cell]
Cr 0.173 0.173 0.500 [8 per cell]
Ru 0.000 0.000 0.000 [2 per cell]

Results
N(E_F) = 16.538 states/eV per cell
E_form = 5.14 kJ per mole of atoms



Cr5Ru | GGA-PBEsol | optimized geometry

a b c (Å): 8.998 2.840 5.726
angles (deg): 90.00 108.56 90.00
Space group C2/m (No. 12)
Inequivalent atoms, fractional coordinates:
Cr 0.000 0.000 0.000 [2 per cell]
Cr 0.170 0.500 0.844 [4 per cell]
Cr 0.174 0.500 0.327 [4 per cell]
Ru 0.000 0.000 0.500 [2 per cell]

Results
excess energy over the best structure of this formula in the dataset = 0.00 eV/f.u.
N(E_F) = 12.905 states/eV per cell
E_form = 7.10 kJ per mole of atoms



CrRu | GGA-PBEsol | optimized geometry

a b c (Å): 2.826 4.303 8.219
angles (deg): 90.00 90.00 90.00
Space group Cmme (No. 67)
Inequivalent atoms, fractional coordinates:
Cr 0.000 0.250 0.112 [4 per cell]
Ru 0.000 0.250 0.640 [4 per cell]

Results
N(E_F) = 11.433 states/eV per cell
E_form = 30.23 kJ per mole of atoms



CrRu | GGA-PBEsol | optimized geometry

a b c (Å): 9.060 2.731 4.364
angles (deg): 90.00 113.92 90.00
Space group C2/m (No. 12)
Inequivalent atoms, fractional coordinates:
Cr 0.146 0.000 0.341 [4 per cell]
Ru 0.113 0.500 0.816 [4 per cell]

Results
N(E_F) = 7.365 states/eV per cell
E_form = 8.80 kJ per mole of atoms



Cr5Ru | GGA-PBEsol | optimized geometry

a b c (Å): 2.849 11.996 4.069
angles (deg): 90.00 90.00 90.00
Space group Cmmm (No. 65)
Inequivalent atoms, fractional coordinates:
Cr 0.000 0.000 0.000 [2 per cell]
Cr 0.000 0.175 0.500 [4 per cell]
Cr 0.000 0.335 0.000 [4 per cell]
Ru 0.000 0.500 0.500 [2 per cell]

Results
excess energy over the best structure of this formula in the dataset = 0.09 eV/f.u.
N(E_F) = 12.780 states/eV per cell
E_form = 8.48 kJ per mole of atoms